1.
# KNiAuSe2S

A relaxed KNiAuSe2S crystal (GGA-PBE, OQMD via LeMat-Bulk).

Cell lengths 3.685, 14.956, 10.367 Å; angles 90.00, 90.00, 90.00 degrees
Space group Cmcm (No. 63)
One atom of each set of equivalent atoms:
K: 0.000 0.226 0.250
Ni: 0.000 0.500 0.000
Au: 0.000 0.087 0.750
Se: 0.000 0.104 0.513
S: 0.000 0.461 0.750

Output
magnetization = 0.0 μB/f.u.
E = -3.75 eV per atom


2.
# FeIr2Br8

A relaxed FeIr2Br8 crystal (GGA-PBE, OQMD via LeMat-Bulk).

Cell lengths 13.240, 8.894, 6.216 Å; angles 90.00, 102.27, 90.00 degrees
Space group C2/m (No. 12)
One atom of each set of equivalent atoms:
Fe: 0.000 0.000 0.000
Ir: 0.209 0.000 0.693
Br: 0.090 0.185 0.785
Br: 0.109 0.500 0.283
Br: 0.174 0.000 0.295

Output
magnetization = 3.7 μB/f.u.
E = -3.51 eV per atom


3.
# LiCdAg2

A relaxed LiCdAg2 crystal (GGA-PBE, OQMD via LeMat-Bulk).

Cell lengths 3.290, 3.290, 6.510 Å; angles 90.00, 90.00, 90.00 degrees
Space group P4/mmm (No. 123)
One atom of each set of equivalent atoms:
Li: 0.000 0.000 0.000
Cd: 0.000 0.000 0.500
Ag: 0.500 0.500 0.225

Output
E = -2.28 eV per atom


4.
# GaReMo

A relaxed GaReMo crystal (GGA-PBE, OQMD via LeMat-Bulk).

Cell lengths 5.992, 5.992, 5.992 Å; angles 90.00, 90.00, 90.00 degrees
Space group F-43m (No. 216)
One atom of each set of equivalent atoms:
Ga: 0.000 0.000 0.000
Re: 0.250 0.250 0.250
Mo: 0.000 0.000 0.500

Output
magnetization = 0.0 μB/f.u.
polymorph energy (0 for the lowest one) = 0.000 eV/f.u.


5.
# PmMg2Ni9

A relaxed PmMg2Ni9 crystal (GGA-PBE, OQMD via LeMat-Bulk).

Cell lengths 4.8550, 4.8550, 23.6057 Å; angles 90.00, 90.00, 120.00 degrees
Space group R-3m (No. 166, hexagonal axes)
One atom of each set of equivalent atoms:
Pm: 0.0000 0.0000 0.0000
Mg: 0.0000 0.0000 0.1443
Ni: 0.0000 0.0000 0.3335
Ni: 0.0000 0.0000 0.5000
Ni: 0.0028 0.5014 0.9148

Output
magnetization = 0.7 μB/f.u.
E = -5.09 eV per atom


6.
# PmCuP2

A relaxed PmCuP2 crystal (GGA-PBE, OQMD via LeMat-Bulk).

Cell lengths 3.775, 3.775, 9.945 Å; angles 90.00, 90.00, 90.00 degrees
Space group P4/nmm (No. 129, origin choice 2)
One atom of each set of equivalent atoms:
Pm: 0.250 0.250 0.233
Cu: 0.250 0.750 0.500
P: 0.250 0.250 0.647
P: 0.250 0.750 0.000

Output
magnetization = 0.0 μB/f.u.
E = -5.68 eV per atom


7.
# LuBeFeAs

A relaxed LuBeFeAs crystal (GGA-PBE, OQMD via LeMat-Bulk).

Cell lengths 6.152, 6.152, 6.152 Å; angles 90.00, 90.00, 90.00 degrees
Space group F-43m (No. 216)
One atom of each set of equivalent atoms:
Lu: 0.000 0.000 0.000
Be: 0.250 0.250 0.750
Fe: 0.000 0.000 0.500
As: 0.250 0.250 0.250

Output
magnetization = 0.0 μB/f.u.
polymorph energy (0 for the lowest one) = 0.000 eV/f.u.


8.
# BaAcIr

A relaxed BaAcIr crystal (GGA-PBE, OQMD via LeMat-Bulk).

Cell lengths 7.448, 7.448, 7.448 Å; angles 90.00, 90.00, 90.00 degrees
Space group F-43m (No. 216)
One atom of each set of equivalent atoms:
Ba: 0.000 0.000 0.000
Ac: 0.000 0.000 0.500
Ir: 0.250 0.250 0.250

Output
magnetization = 0.0 μB/f.u.
polymorph energy (0 for the lowest one) = 0.000 eV/f.u.